(1)
Crystalline CaBeV2Si at its relaxed geometry. Source: Alexandria via LeMat-Bulk, functional PBE-GGA.

CIF file:
```
data_CaBeV2Si
_chemical_formula_sum 'Ca1 Be1 V2 Si1'
_cell_length_a 4.564
_cell_length_b 4.564
_cell_length_c 5.255
_cell_angle_alpha 90.00
_cell_angle_beta 90.00
_cell_angle_gamma 90.00
_space_group_name_H-M_alt 'P 4/m m m'
_space_group_IT_number 123
_space_group_name_Hall '-P 4 2'
loop_
_atom_site_label
_atom_site_type_symbol
_atom_site_fract_x
_atom_site_fract_y
_atom_site_fract_z
Ca1 Ca 0.000 0.000 0.000
Be1 Be 0.500 0.500 0.000
V1 V 0.000 0.500 0.500
Si1 Si 0.000 0.000 0.500
```

- Total magnetization: 2.381 μB per formula unit
- Volume: 109.5 Å³/cell
- Total DFT energy (no corrections): -4.902 eV/atom



(2)
Crystalline CaYBe2Si at its relaxed geometry. Source: Alexandria via LeMat-Bulk, functional PBE-GGA.

CIF file:
```
data_CaYBe2Si
_chemical_formula_sum 'Ca1 Y1 Be2 Si1'
_cell_length_a 4.467
_cell_length_b 4.467
_cell_length_c 5.187
_cell_angle_alpha 90.00
_cell_angle_beta 90.00
_cell_angle_gamma 90.00
_space_group_name_H-M_alt 'P 4/m m m'
_space_group_IT_number 123
_space_group_name_Hall '-P 4 2'
loop_
_atom_site_label
_atom_site_type_symbol
_atom_site_fract_x
_atom_site_fract_y
_atom_site_fract_z
Ca1 Ca 0.000 0.000 0.000
Y1 Y 0.500 0.500 0.000
Be1 Be 0.000 0.500 0.500
Si1 Si 0.000 0.000 0.500
```

- Total magnetization: 0.000 μB per formula unit
- Volume: 103.5 Å³/cell
- Total DFT energy (no corrections): -3.713 eV/atom



(3)
Crystalline CaYBe2Si at its relaxed geometry. Source: Alexandria via LeMat-Bulk, functional PBE-GGA.

CIF file:
```
data_CaYBe2Si
_chemical_formula_sum 'Ca1 Y1 Be2 Si1'
_cell_length_a 4.753
_cell_length_b 4.753
_cell_length_c 5.694
_cell_angle_alpha 90.00
_cell_angle_beta 90.00
_cell_angle_gamma 90.00
_space_group_name_H-M_alt 'P 4/m m m'
_space_group_IT_number 123
_space_group_name_Hall '-P 4 2'
loop_
_atom_site_label
_atom_site_type_symbol
_atom_site_fract_x
_atom_site_fract_y
_atom_site_fract_z
Ca1 Ca 0.000 0.000 0.000
Y1 Y 0.000 0.000 0.500
Be1 Be 0.000 0.500 0.000
Si1 Si 0.500 0.500 0.500
```

- Total magnetization: 0.002 μB per formula unit
- Volume: 128.6 Å³/cell
- Total DFT energy (no corrections): -2.505 eV/atom



(4)
Crystalline Ca2Be3ZnSi4 at its relaxed geometry. Source: Alexandria via LeMat-Bulk, functional PBE-GGA.

CIF file:
```
data_Ca2Be3ZnSi4
_chemical_formula_sum 'Ca2 Be3 Zn1 Si4'
_cell_length_a 3.972
_cell_length_b 3.972
_cell_length_c 9.944
_cell_angle_alpha 90.00
_cell_angle_beta 90.00
_cell_angle_gamma 90.00
_space_group_name_H-M_alt 'P -4 m 2'
_space_group_IT_number 115
_space_group_name_Hall 'P -4 -2'
loop_
_atom_site_label
_atom_site_type_symbol
_atom_site_fract_x
_atom_site_fract_y
_atom_site_fract_z
Ca1 Ca 0.000 0.500 0.245
Be1 Be 0.000 0.500 0.871
Be2 Be 0.500 0.500 0.500
Zn1 Zn 0.000 0.000 0.500
Si1 Si 0.000 0.000 0.000
Si2 Si 0.000 0.500 0.642
Si3 Si 0.500 0.500 0.000
```

- Total magnetization: 0.000 μB per formula unit
- Volume: 156.9 Å³/cell
- Total DFT energy (no corrections): -4.058 eV/atom



(5)
Crystalline Ca2Be4ZnSi3 at its relaxed geometry. Source: Alexandria via LeMat-Bulk, functional PBE-GGA.

CIF file:
```
data_Ca2Be4ZnSi3
_chemical_formula_sum 'Ca2 Be4 Zn1 Si3'
_cell_length_a 3.863
_cell_length_b 3.863
_cell_length_c 10.011
_cell_angle_alpha 90.00
_cell_angle_beta 90.00
_cell_angle_gamma 90.00
_space_group_name_H-M_alt 'P -4 m 2'
_space_group_IT_number 115
_space_group_name_Hall 'P -4 -2'
loop_
_atom_site_label
_atom_site_type_symbol
_atom_site_fract_x
_atom_site_fract_y
_atom_site_fract_z
Ca1 Ca 0.000 0.500 0.245
Be1 Be 0.000 0.000 0.000
Be2 Be 0.000 0.500 0.640
Be3 Be 0.500 0.500 0.000
Zn1 Zn 0.000 0.000 0.500
Si1 Si 0.000 0.500 0.869
Si2 Si 0.500 0.500 0.500
```

- Total magnetization: 0.000 μB per formula unit
- Volume: 149.4 Å³/cell
- Total DFT energy (no corrections): -3.884 eV/atom



(6)
Crystalline CaSm2Be at its relaxed geometry. Source: Alexandria via LeMat-Bulk, functional PBE-GGA.

CIF file:
```
data_CaSm2Be
_chemical_formula_sum 'Ca1 Sm2 Be1'
_cell_length_a 3.598
_cell_length_b 3.598
_cell_length_c 9.036
_cell_angle_alpha 90.00
_cell_angle_beta 90.00
_cell_angle_gamma 90.00
_space_group_name_H-M_alt 'P 4/m m m'
_space_group_IT_number 123
_space_group_name_Hall '-P 4 2'
loop_
_atom_site_label
_atom_site_type_symbol
_atom_site_fract_x
_atom_site_fract_y
_atom_site_fract_z
Ca1 Ca 0.000 0.000 0.000
Sm1 Sm 0.500 0.500 0.322
Be1 Be 0.000 0.000 0.500
```

- DFT formation energy: 125 meV per atom
- Total magnetization: 0.000 μB per formula unit
- Volume: 116.9 Å³/cell
- Total DFT energy (no corrections): -3.666 eV/atom



(7)
Crystalline Ca2BeSn2 at its relaxed geometry. Source: Alexandria via LeMat-Bulk, functional PBE-GGA.

CIF file:
```
data_Ca2BeSn2
_chemical_formula_sum 'Ca4 Be2 Sn4'
_cell_length_a 7.186
_cell_length_b 7.186
_cell_length_c 4.953
_cell_angle_alpha 90.00
_cell_angle_beta 90.00
_cell_angle_gamma 90.00
_space_group_name_H-M_alt 'P 4/m b m'
_space_group_IT_number 127
_space_group_name_Hall '-P 4 2ab'
loop_
_atom_site_label
_atom_site_type_symbol
_atom_site_fract_x
_atom_site_fract_y
_atom_site_fract_z
Ca1 Ca 0.166 0.334 0.000
Be1 Be 0.000 0.000 0.500
Sn1 Sn 0.147 0.647 0.500
```

- DFT formation energy: -253 meV per atom
- Total magnetization: 0.000 μB per formula unit
- Volume: 255.7 Å³/cell
- Total DFT energy (no corrections): -3.400 eV/atom



(8)
Crystalline Ca2Be2Sn at its relaxed geometry. Source: Alexandria via LeMat-Bulk, functional PBE-GGA.

CIF file:
```
data_Ca2Be2Sn
_chemical_formula_sum 'Ca4 Be4 Sn2'
_cell_length_a 6.784
_cell_length_b 6.784
_cell_length_c 4.637
_cell_angle_alpha 90.00
_cell_angle_beta 90.00
_cell_angle_gamma 90.00
_space_group_name_H-M_alt 'P 4/m b m'
_space_group_IT_number 127
_space_group_name_Hall '-P 4 2ab'
loop_
_atom_site_label
_atom_site_type_symbol
_atom_site_fract_x
_atom_site_fract_y
_atom_site_fract_z
Ca1 Ca 0.185 0.315 0.000
Be1 Be 0.109 0.609 0.500
Sn1 Sn 0.000 0.000 0.500
```

- DFT formation energy: -35 meV per atom
- Total magnetization: 0.000 μB per formula unit
- Volume: 213.4 Å³/cell
- Total DFT energy (no corrections): -3.127 eV/atom



(9)
Crystalline CaBe3Sn at its relaxed geometry. Source: Alexandria via LeMat-Bulk, functional PBE-GGA.

CIF file:
```
data_CaBe3Sn
_chemical_formula_sum 'Ca1 Be3 Sn1'
_cell_length_a 5.043
_cell_length_b 5.043
_cell_length_c 5.043
_cell_angle_alpha 90.00
_cell_angle_beta 90.00
_cell_angle_gamma 90.00
_space_group_name_H-M_alt 'P m -3 m'
_space_group_IT_number 221
_space_group_name_Hall '-P 4 2 3'
loop_
_atom_site_label
_atom_site_type_symbol
_atom_site_fract_x
_atom_site_fract_y
_atom_site_fract_z
Ca1 Ca 0.000 0.000 0.000
Be1 Be 0.000 0.000 0.500
Sn1 Sn 0.500 0.500 0.500
```

- DFT formation energy: 1809 meV per atom
- Total magnetization: 0.000 μB per formula unit
- Volume: 128.3 Å³/cell
- Total DFT energy (no corrections): -1.627 eV/atom



(10)
Crystalline CaBe3Sn at its relaxed geometry. Source: Alexandria via LeMat-Bulk, functional PBE-GGA.

CIF file:
```
data_CaBe3Sn
_chemical_formula_sum 'Ca1 Be3 Sn1'
_cell_length_a 4.703
_cell_length_b 4.703
_cell_length_c 4.703
_cell_angle_alpha 90.00
_cell_angle_beta 90.00
_cell_angle_gamma 90.00
_space_group_name_H-M_alt 'P m -3 m'
_space_group_IT_number 221
_space_group_name_Hall '-P 4 2 3'
loop_
_atom_site_label
_atom_site_type_symbol
_atom_site_fract_x
_atom_site_fract_y
_atom_site_fract_z
Ca1 Ca 0.000 0.000 0.000
Be1 Be 0.000 0.500 0.500
Sn1 Sn 0.500 0.500 0.500
```

- DFT formation energy: 858 meV per atom
- Total magnetization: 0.000 μB per formula unit
- Volume: 104.0 Å³/cell
- Total DFT energy (no corrections): -2.578 eV/atom



(11)
Crystalline CaBeSn3 at its relaxed geometry. Source: Alexandria via LeMat-Bulk, functional PBE-GGA.

CIF file:
```
data_CaBeSn3
_chemical_formula_sum 'Ca1 Be1 Sn3'
_cell_length_a 5.794
_cell_length_b 5.794
_cell_length_c 5.794
_cell_angle_alpha 90.00
_cell_angle_beta 90.00
_cell_angle_gamma 90.00
_space_group_name_H-M_alt 'P m -3 m'
_space_group_IT_number 221
_space_group_name_Hall '-P 4 2 3'
loop_
_atom_site_label
_atom_site_type_symbol
_atom_site_fract_x
_atom_site_fract_y
_atom_site_fract_z
Ca1 Ca 0.000 0.000 0.000
Be1 Be 0.500 0.500 0.500
Sn1 Sn 0.000 0.000 0.500
```

- DFT formation energy: 1210 meV per atom
- Total magnetization: 0.000 μB per formula unit
- Volume: 194.5 Å³/cell
- Total DFT energy (no corrections): -2.338 eV/atom



(12)
Crystalline Ca2BeSn2 at its relaxed geometry. Source: Alexandria via LeMat-Bulk, functional PBE-GGA.

CIF file:
```
data_Ca2BeSn2
_chemical_formula_sum 'Ca4 Be2 Sn4'
_cell_length_a 6.316
_cell_length_b 6.316
_cell_length_c 7.764
_cell_angle_alpha 90.00
_cell_angle_beta 90.00
_cell_angle_gamma 90.00
_space_group_name_H-M_alt 'I 4/m m m'
_space_group_IT_number 139
_space_group_name_Hall '-I 4 2'
loop_
_atom_site_label
_atom_site_type_symbol
_atom_site_fract_x
_atom_site_fract_y
_atom_site_fract_z
Ca1 Ca 0.000 0.500 0.250
Be1 Be 0.000 0.000 0.000
Sn1 Sn 0.000 0.000 0.312
```

- DFT formation energy: 124 meV per atom
- Total magnetization: 0.000 μB per formula unit
- Volume: 309.7 Å³/cell
- Total DFT energy (no corrections): -3.023 eV/atom



Repeat the seventh record exactly.
Crystalline Ca2BeSn2 at its relaxed geometry. Source: Alexandria via LeMat-Bulk, functional PBE-GGA.

CIF file:
```
data_Ca2BeSn2
_chemical_formula_sum 'Ca4 Be2 Sn4'
_cell_length_a 7.186
_cell_length_b 7.186
_cell_length_c 4.953
_cell_angle_alpha 90.00
_cell_angle_beta 90.00
_cell_angle_gamma 90.00
_space_group_name_H-M_alt 'P 4/m b m'
_space_group_IT_number 127
_space_group_name_Hall '-P 4 2ab'
loop_
_atom_site_label
_atom_site_type_symbol
_atom_site_fract_x
_atom_site_fract_y
_atom_site_fract_z
Ca1 Ca 0.166 0.334 0.000
Be1 Be 0.000 0.000 0.500
Sn1 Sn 0.147 0.647 0.500
```

- DFT formation energy: -253 meV per atom
- Total magnetization: 0.000 μB per formula unit
- Volume: 255.7 Å³/cell
- Total DFT energy (no corrections): -3.400 eV/atom



Look up the total DFT energy (no corrections) of the fifth one. -3.884 eV/atom